[1]
Here is crystalline KLa4Ir at its relaxed geometry from Alexandria via LeMat-Bulk. Energies are from PBE.

Calculated values
D(E_F) in states/eV/f.u.: 11.26
ΔE_f in meV per atom: 723

Cell lengths 9.1484, 9.1484, 9.1484 Å; angles 90.00, 90.00, 90.00 degrees
Space group F-43m (No. 216)
Unique sites:
K  0.0000  0.0000  0.0000 [4 per cell]
La  0.1205  0.1205  0.6205 [16 per cell]
Ir  0.2500  0.2500  0.2500 [4 per cell]

[2]
Here is crystalline KLa2Ir at its relaxed geometry from Alexandria via LeMat-Bulk. Energies are from PBE.

Calculated values
D(E_F) in states/eV/f.u.: 3.36
ΔE_f in meV per atom: -165

Cell lengths 4.1287, 4.1287, 9.8962 Å; angles 90.00, 90.00, 90.00 degrees
Space group P4mm (No. 99)
Unique sites:
K  0.0000  0.0000  0.0000 [1 per cell]
La  0.0000  0.0000  0.6126 [1 per cell]
La  0.5000  0.5000  0.3493 [1 per cell]
Ir  0.5000  0.5000  0.6141 [1 per cell]

[3]
Here is crystalline KLa2Ir at its relaxed geometry from Alexandria via LeMat-Bulk. Energies are from PBE.

Calculated values
D(E_F) in states/eV/f.u.: 3.24
ΔE_f in meV per atom: -107

Cell lengths 4.0061, 6.6683, 11.0000 Å; angles 90.00, 90.00, 90.00 degrees
Space group Immm (No. 71)
Unique sites:
K  0.0000  0.0000  0.0000 [2 per cell]
La  0.0000  0.5000  0.1720 [4 per cell]
Ir  0.0000  0.0000  0.5000 [2 per cell]

[4]
Here is crystalline KLa2Ir at its relaxed geometry from Alexandria via LeMat-Bulk. Energies are from PBE.

Calculated values
D(E_F) in states/eV/f.u.: 5.33
ΔE_f in meV per atom: 429

Cell lengths 7.5522, 7.5522, 7.5522 Å; angles 90.00, 90.00, 90.00 degrees
Space group F-43m (No. 216)
Unique sites:
K  0.0000  0.0000  0.0000 [4 per cell]
La  0.0000  0.0000  0.5000 [4 per cell]
La  0.2500  0.2500  0.7500 [4 per cell]
Ir  0.2500  0.2500  0.2500 [4 per cell]

[5]
Here is crystalline KLa2Ir at its relaxed geometry from Alexandria via LeMat-Bulk. Energies are from PBE.

Calculated values
D(E_F) in states/eV/f.u.: 3.44
ΔE_f in meV per atom: -261

Cell lengths 3.6797, 3.6806, 10.9422 Å; angles 90.00, 90.16, 90.00 degrees
Space group P2/m (No. 10)
Unique sites:
K  0.0000  0.0000  0.0000 [1 per cell]
La  0.4976  0.5000  0.6500 [2 per cell]
Ir  0.0000  0.0000  0.5000 [1 per cell]

[6]
Here is crystalline KLa2Ir at its relaxed geometry from Alexandria via LeMat-Bulk. Energies are from PBE.

Calculated values
D(E_F) in states/eV/f.u.: 5.11
ΔE_f in meV per atom: 267

Cell lengths 7.2371, 7.2530, 4.2400 Å; angles 90.00, 90.20, 90.00 degrees
Space group C2/m (No. 12)
Unique sites:
K  0.0000  0.0000  0.0000 [2 per cell]
La  0.2500  0.2500  0.5000 [4 per cell]
Ir  0.0000  0.5000  0.0000 [2 per cell]

[7]
Here is crystalline KLiLa2Ir at its relaxed geometry from Alexandria via LeMat-Bulk. Energies are from PBE.

Calculated values
D(E_F) in states/eV/f.u.: 3.87
ΔE_f in meV per atom: -121

Cell lengths 5.5666, 5.5666, 5.7086 Å; angles 90.00, 90.00, 90.00 degrees
Space group P4/mmm (No. 123)
Unique sites:
K  0.0000  0.0000  0.0000 [1 per cell]
Li  0.5000  0.5000  0.0000 [1 per cell]
La  0.0000  0.5000  0.5000 [2 per cell]
Ir  0.5000  0.5000  0.5000 [1 per cell]

[8]
Here is crystalline KLa2MgIr at its relaxed geometry from Alexandria via LeMat-Bulk. Energies are from PBE.

Calculated values
D(E_F) in states/eV/f.u.: 4.50
ΔE_f in meV per atom: -217

Cell lengths 5.6369, 5.6369, 5.4703 Å; angles 90.00, 90.00, 90.00 degrees
Space group P4/mmm (No. 123)
Unique sites:
K  0.0000  0.0000  0.0000 [1 per cell]
La  0.0000  0.5000  0.5000 [2 per cell]
Mg  0.5000  0.5000  0.0000 [1 per cell]
Ir  0.5000  0.5000  0.5000 [1 per cell]